# 1
Crystalline PrLu2Os at its relaxed geometry. Source: Alexandria via LeMat-Bulk, functional PBE-GGA.

```
PrLu2Os
1.0
2.3408 1.3515 5.5272
-2.3408 1.3515 5.5272
0.0000 -2.7029 5.5272
Pr Lu Os
1 2 1
Cartesian
0.0000 0.0000 0.0000 Pr
0.0000 0.0000 3.6075 Lu
0.0000 0.0000 12.9741 Lu
0.0000 0.0000 8.2908 Os
```

Computed properties:
ΔE_f: 0.23 eV/f.u.
distance to the lowest polymorph of the same formula: 0.283 eV per atom
symmetry: No. 166
uncorrected energy: -6.205 eV per atom

---

# 2
Crystalline Li3Cd4Pt at its relaxed geometry. Source: Alexandria via LeMat-Bulk, functional PBE-GGA.

```
Li3Cd4Pt
1.0
9.5079 0.0000 0.0000
0.0000 6.1582 0.0000
0.0000 0.0000 4.8931
Li Cd Pt
6 8 2
Cartesian
0.0000 0.0000 0.0000 Li
2.3770 0.0000 2.0040 Li
2.3770 3.0791 1.8840 Li
4.7540 0.0000 0.0000 Li
7.1309 0.0000 2.8891 Li
7.1309 3.0791 3.0091 Li
0.0000 1.5506 2.4465 Cd
0.0000 4.6076 2.4465 Cd
2.3770 1.5282 4.4696 Cd
2.3770 4.6300 4.4696 Cd
4.7540 1.5506 2.4465 Cd
4.7540 4.6076 2.4465 Cd
7.1309 1.5282 0.4234 Cd
7.1309 4.6300 0.4234 Cd
0.0000 3.0791 0.0000 Pt
4.7540 3.0791 0.0000 Pt
```

Computed properties:
ΔE_f: -2.54 eV/f.u.
symmetry: No. 51
uncorrected energy: -2.248 eV per atom

---

# 3
Crystalline YGe3Rh3 at its relaxed geometry. Source: Alexandria via LeMat-Bulk, functional PBE-GGA.

```
YGe3Rh3
1.0
6.6816 0.0000 0.0000
0.0000 6.6816 0.0000
0.0000 0.0000 6.6816
Y Ge Rh
2 6 6
Cartesian
0.0000 0.0000 0.0000 Y
3.3408 3.3408 3.3408 Y
0.0000 1.6704 3.3408 Ge
0.0000 5.0112 3.3408 Ge
1.6704 3.3408 0.0000 Ge
3.3408 0.0000 1.6704 Ge
3.3408 0.0000 5.0112 Ge
5.0112 3.3408 0.0000 Ge
0.0000 3.3408 1.6704 Rh
0.0000 3.3408 5.0112 Rh
1.6704 0.0000 3.3408 Rh
3.3408 1.6704 0.0000 Rh
3.3408 5.0112 0.0000 Rh
5.0112 0.0000 3.3408 Rh
```

Computed properties:
ΔE_f: -1.79 eV/f.u.
distance to the lowest polymorph of the same formula: 0.288 eV per atom
symmetry: No. 223
uncorrected energy: -6.309 eV per atom

---

# 4
Crystalline Pm14TmSc at its relaxed geometry. Source: Alexandria via LeMat-Bulk, functional PBE-GGA.

```
Pm14TmSc
1.0
7.2407 0.0000 0.0000
0.0000 7.2407 0.0000
0.0000 0.0000 10.2063
Pm Tm Sc
14 1 1
Cartesian
0.0000 0.0000 0.0000 Pm
0.0000 3.6204 0.0000 Pm
0.0000 3.6204 5.1031 Pm
1.7977 1.7977 2.5973 Pm
1.7977 1.7977 7.6090 Pm
1.7977 5.4431 2.5973 Pm
1.7977 5.4431 7.6090 Pm
3.6204 0.0000 0.0000 Pm
3.6204 0.0000 5.1031 Pm
3.6204 3.6204 0.0000 Pm
5.4431 1.7977 2.5973 Pm
5.4431 1.7977 7.6090 Pm
5.4431 5.4431 2.5973 Pm
5.4431 5.4431 7.6090 Pm
3.6204 3.6204 5.1031 Tm
0.0000 0.0000 5.1031 Sc
```

Computed properties:
ΔE_f: 0.37 eV/f.u.
symmetry: No. 123
uncorrected energy: -4.809 eV per atom